# 1
First-principles (PBE-GGA) data for a relaxed Hg2IrI crystal, as listed in Alexandria via LeMat-Bulk.

Unit cell a=5.0485 b=5.0485 c=5.0485 alpha=60.00 beta=60.00 gamma=60.00
Fractional positions:
Ir (0.5000, 0.5000, 0.5000)
Hg (0.7500, 0.7500, 0.7500)
Hg (0.2500, 0.2500, 0.2500)
I (0.0000, 0.0000, 0.0000)

Results
Raw formation energy ... 0.983 eV per atom
Energy above the lowest structure with this stoichiometry ... 291 meV per atom

=====

# 2
First-principles (PBE-GGA) data for a relaxed SrLi2Hg crystal, as listed in Alexandria via LeMat-Bulk.

Unit cell a=4.5991 b=4.7713 c=5.1676 alpha=90.00 beta=90.00 gamma=90.00
Fractional positions:
Sr (0.5000, 0.0000, 0.5000)
Li (0.5000, 0.5000, 0.0000)
Li (0.0000, 0.0000, 0.0000)
Hg (0.0000, 0.5000, 0.5000)

Results
Formation enthalpy at 0 K ... -149 meV per atom

=====

# 3
First-principles (PBE-GGA) data for a relaxed ThZn5Cu2Ag crystal, as listed in Alexandria via LeMat-Bulk.

Unit cell a=4.7116 b=4.7116 c=7.1665 alpha=90.00 beta=90.00 gamma=90.00
Fractional positions:
Th (0.0000, 0.0000, 0.5000)
Zn (0.0000, 0.5000, 0.2095)
Zn (0.5000, 0.0000, 0.2095)
Zn (0.5000, 0.5000, 0.5000)
Zn (0.5000, 0.0000, 0.7905)
Zn (0.0000, 0.5000, 0.7905)
Cu (0.5000, 0.5000, 0.1666)
Cu (0.5000, 0.5000, 0.8334)
Ag (0.0000, 0.0000, 0.0000)

Results
Formation enthalpy at 0 K ... 24 meV per atom

=====

# 4
First-principles (PBE-GGA) data for a relaxed ErAl2Ni5 crystal, as listed in Alexandria via LeMat-Bulk.

Unit cell a=3.5976 b=6.0663 c=6.0663 alpha=65.29 beta=72.75 gamma=72.75
Fractional positions:
Al (0.2427, 0.2573, 0.2573)
Al (0.7573, 0.7427, 0.7427)
Ni (0.3676, 0.4404, 0.8243)
Ni (0.6324, 0.1757, 0.5596)
Ni (0.3676, 0.8243, 0.4404)
Ni (0.0000, 0.5000, 0.5000)
Ni (0.6324, 0.5596, 0.1757)
Er (0.0000, 0.0000, 0.0000)

Results
Formation enthalpy at 0 K ... -403 meV per atom